{"formula": "Pr7NdSm4", "functional": "PBE", "state": "relaxed", "lattice": [[8.214, -3.068, 0.000], [8.214, 3.068, 0.000], [-4.188, 0.000, 8.575]], "species": ["Pr", "Pr", "Pr", "Pr", "Pr", "Pr", "Pr", "Nd", "Sm", "Sm", "Sm", "Sm"], "frac_coords": [[0.000, 0.000, 0.000], [0.288, 0.288, 0.121], [0.290, 0.290, 0.771], [0.417, 0.417, 0.557], [0.583, 0.583, 0.443], [0.710, 0.710, 0.229], [0.712, 0.712, 0.879], [0.500, 0.500, 0.000], [0.072, 0.072, 0.697], [0.172, 0.172, 0.388], [0.828, 0.828, 0.612], [0.928, 0.928, 0.303]], "e_above_lowest_polymorph_ev_per_fu": 2.20, "dft_energy_ev_per_cell": -54.76, "magmom_total_mub_per_fu": 0.523}

---

{"formula": "Pr2Nd9Sm", "functional": "PBE", "state": "relaxed", "lattice": [[11.644, 0.000, 0.000], [-5.822, 10.084, 0.000], [0.000, 0.000, 3.594]], "species": ["Pr", "Pr", "Nd", "Nd", "Nd", "Nd", "Nd", "Nd", "Nd", "Nd", "Nd", "Sm"], "frac_coords": [[0.333, 0.667, 0.000], [0.667, 0.333, 0.000], [0.000, 0.500, 0.000], [0.172, 0.345, 0.500], [0.172, 0.828, 0.500], [0.345, 0.172, 0.500], [0.500, 0.000, 0.000], [0.500, 0.500, 0.000], [0.655, 0.828, 0.500], [0.828, 0.172, 0.500], [0.828, 0.655, 0.500], [0.000, 0.000, 0.000]], "e_above_lowest_polymorph_ev_per_fu": 0.34, "dft_energy_ev_per_cell": -56.70, "magmom_total_mub_per_fu": 0.000}

---

{"formula": "PrNd4Sm2", "functional": "PBE", "state": "relaxed", "lattice": [[-1.801, 2.957, 11.657], [1.801, -2.957, 11.657], [1.801, 2.957, -11.657]], "species": ["Pr", "Nd", "Nd", "Nd", "Nd", "Sm", "Sm"], "frac_coords": [[0.000, 0.000, 0.000], [0.138, 0.638, 0.500], [0.415, 0.915, 0.500], [0.585, 0.085, 0.500], [0.862, 0.362, 0.500], [0.275, 0.275, 0.000], [0.725, 0.725, 0.000]], "e_above_lowest_polymorph_ev_per_fu": 0.00, "dft_energy_ev_per_cell": -32.67, "magmom_total_mub_per_fu": 0.000}

---

{"formula": "Pr2Nd7Sm2", "functional": "PBE", "state": "relaxed", "lattice": [[8.149, -3.211, 0.000], [8.149, 3.211, 0.000], [-5.749, 0.000, 14.910]], "species": ["Pr", "Pr", "Pr", "Pr", "Nd", "Nd", "Nd", "Nd", "Nd", "Nd", "Nd", "Nd", "Nd", "Nd", "Nd", "Nd", "Nd", "Nd", "Sm", "Sm", "Sm", "Sm"], "frac_coords": [[0.029, 0.698, 0.522], [0.302, 0.971, 0.978], [0.698, 0.029, 0.022], [0.971, 0.302, 0.478], [0.120, 0.788, 0.341], [0.152, 0.484, 0.114], [0.212, 0.880, 0.159], [0.243, 0.573, 0.931], [0.333, 0.667, 0.750], [0.427, 0.757, 0.569], [0.484, 0.152, 0.614], [0.516, 0.848, 0.386], [0.573, 0.243, 0.431], [0.667, 0.333, 0.250], [0.757, 0.427, 0.069], [0.788, 0.120, 0.841], [0.848, 0.516, 0.886], [0.880, 0.212, 0.659], [0.062, 0.393, 0.295], [0.393, 0.062, 0.795], [0.607, 0.938, 0.205], [0.938, 0.607, 0.705]], "e_above_lowest_polymorph_ev_per_fu": 0.00, "dft_energy_ev_per_cell": -104.04, "magmom_total_mub_per_fu": 0.000}

---

ΔE_f (computed, meV/atom): 195 41 89 32